No. 1
Below is a geometry-optimized CsRbC2 structure, with properties calculated at the PBE level.

Cell: 6.0363 8.3807 9.6227 Å, 90.00 90.00 90.00°
Element x y z (fractional)
Cs1 0.2500 0.4692 0.1711
Cs2 0.2500 0.9692 0.3289
Cs3 0.7500 0.5308 0.8289
Cs4 0.7500 0.0308 0.6711
Rb1 0.2500 0.8644 0.9129
Rb2 0.2500 0.3644 0.5871
Rb3 0.7500 0.1356 0.0871
Rb4 0.7500 0.6356 0.4129
C1 0.1448 0.2377 0.8923
C2 0.3552 0.7377 0.6077
C3 0.6448 0.7623 0.1077
C4 0.8552 0.2623 0.3923
C5 0.8552 0.7623 0.1077
C6 0.6448 0.2623 0.3923
C7 0.3552 0.2377 0.8923
C8 0.1448 0.7377 0.6077

Properties
Space group ... Pnma
Distance to the lowest polymorph of the same formula ... 0.00 eV/f.u.
Total magnetic moment ... 0.00 μB per cell
Total energy ... -4.7603 eV per atom

***

No. 2
Below is a geometry-optimized SbCl5 structure, with properties calculated at the PBE level.

Cell: 13.2706 10.2426 13.2904 Å, 71.55 90.00 90.00°
Element x y z (fractional)
Cl1 0.9671 0.6004 0.3429
Cl2 0.4671 0.3996 0.1571
Cl3 0.0329 0.3996 0.6571
Cl4 0.5329 0.6004 0.8429
Cl5 0.7673 0.5925 0.0528
Cl6 0.2673 0.4075 0.4472
Cl7 0.2327 0.4075 0.9472
Cl8 0.7327 0.5925 0.5528
Cl9 0.7525 0.7665 0.2321
Cl10 0.2525 0.2335 0.2679
Cl11 0.2475 0.2335 0.7679
Cl12 0.7475 0.7665 0.7321
Cl13 0.9781 0.7706 0.0770
Cl14 0.4781 0.2294 0.4230
Cl15 0.0219 0.2294 0.9230
Cl16 0.5219 0.7706 0.5770
Cl17 0.7653 0.4061 0.3162
Cl18 0.2653 0.5939 0.1838
Cl19 0.2347 0.5939 0.6838
Cl20 0.7347 0.4061 0.8162
Cl21 0.9744 0.4115 0.1726
Cl22 0.4744 0.5885 0.3274
Cl23 0.0256 0.5885 0.8274
Cl24 0.5256 0.4115 0.6726
Cl25 0.9717 0.2248 0.4366
Cl26 0.4717 0.7752 0.0634
Cl27 0.0283 0.7752 0.5634
Cl28 0.5283 0.2248 0.9366
Cl29 0.7732 0.2159 0.1467
Cl30 0.2732 0.7841 0.3533
Cl31 0.2268 0.7841 0.8533
Cl32 0.7268 0.2159 0.6467
Cl33 0.9894 0.0522 0.2560
Cl34 0.4894 0.9478 0.2440
Cl35 0.0106 0.9478 0.7440
Cl36 0.5106 0.0522 0.7560
Cl37 0.7626 0.0441 0.4118
Cl38 0.2626 0.9559 0.0882
Cl39 0.2374 0.9559 0.5882
Cl40 0.7374 0.0441 0.9118
Sb1 0.8673 0.6159 0.1927
Sb2 0.3673 0.3841 0.3073
Sb3 0.1327 0.3841 0.8073
Sb4 0.6327 0.6159 0.6927
Sb5 0.8729 0.1998 0.2967
Sb6 0.3729 0.8002 0.2033
Sb7 0.1271 0.8002 0.7033
Sb8 0.6271 0.1998 0.7967

Properties
Space group ... P2_1/c
Energy relative to the elements, uncorrected ... -0.644 eV/atom
Total magnetic moment ... 0.00 μB per cell
Total energy ... -2.8699 eV per atom

***

No. 3
Below is a geometry-optimized PmPrHo2Tm4 structure, with properties calculated at the PBE level.

Cell: 9.9387 10.0648 12.2227 Å, 114.33 144.40 89.96°
Element x y z (fractional)
Pm1 0.0000 0.5000 0.0000
Pm2 0.0000 0.5000 0.5000
Pr1 0.5000 0.5000 0.5000
Pr2 0.0000 0.0000 0.0000
Ho1 0.5000 0.0000 0.0000
Ho2 0.5000 0.0000 0.5000
Ho3 0.0000 0.0000 0.5000
Ho4 0.5000 0.5000 0.0000
Tm1 0.2574 0.7518 0.0045
Tm2 0.7538 0.2483 0.5010
Tm3 0.2462 0.7517 0.4990
Tm4 0.7426 0.2482 0.9955
Tm5 0.7512 0.7516 0.0041
Tm6 0.7521 0.7518 0.4993
Tm7 0.2478 0.2482 0.5007
Tm8 0.2488 0.2484 0.9959

Properties
Space group ... P2/m
Total magnetic moment ... 0.00 μB per cell
Total energy ... -4.5488 eV per atom

***

No. 4
Below is a geometry-optimized BaLiIn2 structure, with properties calculated at the PBE level.

Cell: 4.8484 4.8484 6.7678 Å, 69.03 69.03 59.96°
Element x y z (fractional)
In1 0.0405 0.0405 0.8788
In2 0.7730 0.7730 0.6808
Ba1 0.2482 0.2482 0.2553
Li1 0.4382 0.4382 0.6852

Properties
Space group ... R3m
Total magnetic moment ... 0.00 μB per cell
Total energy ... -2.6843 eV per atom

***

No. 5
Below is a geometry-optimized BaNaLi2Zn structure, with properties calculated at the PBE level.

Cell: 5.3145 5.3145 5.5902 Å, 90.00 90.00 90.00°
Element x y z (fractional)
Na1 0.0000 0.0000 0.5000
Zn1 0.0000 0.0000 0.0000
Ba1 0.5000 0.5000 0.5000
Li1 0.0000 0.5000 0.0000
Li2 0.5000 0.0000 0.0000

Properties
Space group ... P4/mmm
Distance to the lowest polymorph of the same formula ... 0.00 eV/f.u.
Total magnetic moment ... 0.00 μB per cell
Total energy ... -1.5959 eV per atom

***

No. 6
Below is a geometry-optimized LaSn2As structure, with properties calculated at the PBE level.

Cell: 8.6459 8.6459 6.8399 Å, 50.80 50.80 90.00°
Element x y z (fractional)
As1 0.5000 0.5000 0.0000
As2 0.2500 0.7500 0.5000
Sn1 0.5825 0.1250 0.2500
Sn2 0.1675 0.6250 0.2500
Sn3 0.3750 0.4175 0.7500
Sn4 0.8750 0.8325 0.7500
La1 0.0000 0.0000 0.0000
La2 0.7500 0.2500 0.5000

Properties
Space group ... I-42d
Total magnetic moment ... 0.00 μB per cell
Total energy ... -4.8032 eV per atom

***

No. 7
Below is a geometry-optimized Na4LaTb3Se8 structure, with properties calculated at the PBE level.

Cell: 8.4390 8.5309 8.4386 Å, 119.67 120.00 90.00°
Element x y z (fractional)
Na1 0.5000 0.0000 0.0000
Na2 0.5000 0.0000 0.5000
Na3 0.0000 0.0000 0.0000
Na4 0.0000 0.0000 0.5000
La1 0.0000 0.5000 0.0000
Tb1 0.5000 0.5000 0.0000
Tb2 0.5000 0.5000 0.5000
Tb3 0.0000 0.5000 0.5000
Se1 0.2491 0.7328 0.9840
Se2 0.2490 0.7328 0.4981
Se3 0.2568 0.2708 0.5137
Se4 0.7350 0.7328 0.9840
Se5 0.2650 0.2672 0.0160
Se6 0.7432 0.7292 0.4863
Se7 0.7510 0.2672 0.5019
Se8 0.7509 0.2672 0.0160

Properties
Space group ... R-3m
Energy relative to the elements, uncorrected ... -1.715 eV/atom
Total magnetic moment ... 0.00 μB per cell
Total energy ... -4.9633 eV per atom

***

No. 8
Below is a geometry-optimized Tm5Hf structure, with properties calculated at the PBE level.

Cell: 4.8548 4.8278 7.6468 Å, 108.40 90.00 90.00°
Element x y z (fractional)
Tm1 0.0000 0.6596 0.3191
Tm2 0.0000 0.3404 0.6809
Tm3 0.5000 0.5000 0.0000
Tm4 0.5000 0.1604 0.3207
Tm5 0.5000 0.8396 0.6793
Hf1 0.0000 0.0000 0.0000

Properties
Space group ... Cmmm
Total magnetic moment ... 0.00 μB per cell
Total energy ... -5.3028 eV per atom